Here is a relaxed structure of Hf2Co2O5 from OQMD via LeMat-Bulk. Energies are from GGA+U.

Calculated values
As for the space group: No. 123. The relative energy among the computed polymorphs comes out at 537 meV per atom.

Cell lengths 6.3077, 3.6846, 3.6846 Å; angles 90.00, 90.00, 90.00 degrees
Fractional coordinates of all 9 atoms:
O (0.2318, 0.0000, 0.5000)
O (0.7682, 0.0000, 0.5000)
O (0.2318, 0.5000, 0.0000)
O (0.7682, 0.5000, 0.0000)
Co (0.1889, 0.5000, 0.5000)
Hf (0.0000, 0.0000, 0.0000)
Hf (0.5000, 0.0000, 0.0000)
Co (0.8111, 0.5000, 0.5000)
O (0.5000, 0.5000, 0.5000)